Density functional theory data (PBE) for Mg2TlP after structural relaxation.

Summary:
Formation energy, eV per atom: -0.12
SG: I-42d
Size of the total moment, μB/f.u.: 0.00
Fermi-level density of states, states/eV per atom: 0.13
Total DFT energy (no corrections), eV per cell: -22.91

Structure (extended XYZ):
```
8
Lattice="7.606 0.000 0.000 0.000 7.606 0.000 3.803 3.803 3.379" Properties=species:S:1:pos:R:3 pbc="T T T"
P 3.803 3.803 0.000
P 3.803 7.606 1.689
Tl 7.606 3.803 1.689
Tl 0.000 0.000 0.000
Mg 5.182 1.901 0.845
Mg 9.507 8.985 2.534
Mg 5.704 6.227 2.534
Mg 2.424 5.704 0.845
```